Entry 1:
PHOsO | GGA-PBE | relaxed

a b c (Å): 2.569 3.666 6.253
angles (deg): 90.42 93.19 110.42
Positions (direct):
P 0.608 0.481 0.634
H 0.810 0.993 0.229
Os 0.304 0.928 0.425
O 0.122 0.460 0.813

- ΔE to the lowest computed polymorph: 117 meV/atom
- VASP energy: -26.40 eV/cell



Entry 2:
KPr2Tc2N6 | GGA-PBE | relaxed

a b c (Å): 6.796 6.283 6.817
angles (deg): 114.02 83.17 64.27
Positions (direct):
K 0.500 0.000 0.500
Pr 0.828 0.365 0.782
Pr 0.172 0.635 0.218
Tc 0.170 0.776 0.818
Tc 0.830 0.224 0.182
N 0.404 0.719 0.924
N 0.914 0.464 0.208
N 0.170 0.867 0.593
N 0.086 0.536 0.792
N 0.830 0.133 0.407
N 0.596 0.281 0.076

- ΔE_f (raw): -0.4473 eV per atom
- VASP energy: -86.26 eV/cell



Entry 3:
MnCoSi2 | GGA-PBE | relaxed

a b c (Å): 2.566 2.566 7.202
angles (deg): 90.00 90.00 90.00
Positions (direct):
Co 0.000 0.000 0.499
Mn 0.500 0.500 0.741
Si 0.000 0.000 0.973
Si 0.500 0.500 0.287

- ΔE to the lowest computed polymorph: 476 meV/atom
- ΔE_f (raw): -0.0287 eV per atom
- VASP energy: -27.24 eV/cell



Entry 4:
GaSnN | GGA-PBE | relaxed

a b c (Å): 6.042 3.245 5.596
angles (deg): 90.00 107.98 90.00
Positions (direct):
Ga 0.172 0.000 0.657
Ga 0.172 0.500 0.157
Sn 0.669 0.000 0.824
Sn 0.669 0.500 0.324
N 0.066 0.000 0.955
N 0.066 0.500 0.455

- ΔE to the lowest computed polymorph: 0 meV/atom
- ΔE_f (raw): -0.0321 eV per atom
- VASP energy: -30.90 eV/cell



Entry 5:
Mo2SeCl | GGA-PBE | relaxed

a b c (Å): 4.210 2.842 5.834
angles (deg): 101.50 90.00 90.00
Positions (direct):
Cl 0.500 0.750 0.750
Mo 0.000 0.988 0.002
Mo 0.000 0.512 0.498
Se 0.500 0.250 0.250

- ΔE to the lowest computed polymorph: 742 meV/atom
- ΔE_f (raw): 0.5489 eV per atom
- VASP energy: -24.80 eV/cell



Entry 6:
Be2PtCl | GGA-PBE | relaxed

a b c (Å): 5.070 5.070 5.070
angles (deg): 147.28 97.08 92.03
Positions (direct):
Be 0.001 0.001 0.000
Be 0.499 0.499 0.000
Pt 0.250 0.750 0.500
Cl 0.750 0.250 0.500

- ΔE to the lowest computed polymorph: 628 meV/atom
- ΔE_f (raw): 0.0908 eV per atom
- VASP energy: -14.98 eV/cell



Entry 7:
Cs2SnBr3 | GGA-PBE | relaxed

a b c (Å): 4.521 5.964 10.298
angles (deg): 106.83 102.68 90.00
Positions (direct):
Cs 0.649 0.649 0.298
Cs 0.351 0.351 0.702
Sn 0.000 0.000 0.000
Br 0.000 0.500 0.000
Br 0.841 0.841 0.682
Br 0.159 0.159 0.318

- ΔE_f (raw): -1.2560 eV per atom
- VASP energy: -18.26 eV/cell



Entry 8:
MnAl6V2 | GGA-PBE | relaxed

a b c (Å): 3.962 6.018 6.527
angles (deg): 117.45 90.00 90.00
Positions (direct):
Mn 0.000 0.000 0.000
Al 0.000 0.428 0.289
Al 0.000 0.139 0.711
Al 0.000 0.572 0.711
Al 0.500 0.230 0.000
Al 0.000 0.861 0.289
Al 0.500 0.770 0.000
V 0.500 0.777 0.554
V 0.500 0.223 0.446

- VASP energy: -50.12 eV/cell